First-principles (GGA-PBE) data for a geometry-optimized MgCuCl3 structure, as listed in Alexandria.

Output
- energy relative to the elements, uncorrected (eV per atom) = -1.21
- ΔE to the lowest computed polymorph (eV per atom) = 0.0470

abc: 13.591 11.171 6.589
angles: 90.00 115.56 90.00
Space group C2/c (No. 15)
One atom of each set of equivalent atoms:
Mg: 0.000 0.094 0.250
Mg: 0.000 0.259 0.750
Cu: 0.189 0.434 0.123
Cl: 0.108 0.244 0.163
Cl: 0.112 0.079 0.681
Cl: 0.140 0.401 0.751


First-principles (GGA-PBE) data for a geometry-optimized Ni4MoIr structure, as listed in Alexandria.

Output
- ΔE to the lowest computed polymorph (eV per atom) = 0.0000
- formation enthalpy at 0 K (eV/atom) = -0.10

abc: 3.657 10.884 7.428
angles: 90.00 90.00 90.00
Space group Cmc2_1 (No. 36)
One atom of each set of equivalent atoms:
Ni: 0.000 0.002 0.000
Ni: 0.000 0.163 0.254
Ni: 0.000 0.335 0.509
Ni: 0.000 0.496 0.758
Mo: 0.000 0.333 0.004
Ir: 0.000 0.163 0.753


First-principles (GGA-PBE) data for a geometry-optimized Ac2Al4Hg3Pb structure, as listed in Alexandria.

Output
- formation enthalpy at 0 K (eV/atom) = -0.30

abc: 4.757 4.757 11.064
angles: 90.00 90.00 90.00
Space group P-4m2 (No. 115)
One atom of each set of equivalent atoms:
Ac: 0.000 0.500 0.241
Al: 0.000 0.000 0.000
Al: 0.000 0.500 0.640
Al: 0.500 0.500 0.000
Hg: 0.000 0.500 0.876
Hg: 0.500 0.500 0.500
Pb: 0.000 0.000 0.500


First-principles (GGA-PBE) data for a geometry-optimized Zr2VRe structure, as listed in Alexandria.

Output
- formation enthalpy at 0 K (eV/atom) = 0.59

abc: 7.393 7.393 5.658
angles: 90.00 90.00 90.00
Space group I-42d (No. 122)
One atom of each set of equivalent atoms:
Zr: 0.242 0.750 0.125
V: 0.000 0.000 0.500
Re: 0.000 0.000 0.000


First-principles (GGA-PBE) data for a geometry-optimized DySi3Ir5 structure, as listed in Alexandria.

Output
- energy relative to the elements, uncorrected (eV per atom) = -0.64

abc: 3.897 12.362 12.370
angles: 90.00 90.00 90.00
Space group Cmcm (No. 63)
One atom of each set of equivalent atoms:
Dy: 0.000 0.157 0.250
Si: 0.000 0.124 0.750
Si: 0.000 0.386 0.543
Ir: 0.000 0.000 0.000
Ir: 0.000 0.205 0.575
Ir: 0.000 0.448 0.147


First-principles (GGA-PBE) data for a geometry-optimized PuIn2 structure, as listed in Alexandria.

Output
- formation enthalpy at 0 K (eV/atom) = -0.09

abc: 4.450 4.450 7.929
angles: 90.00 90.13 90.00
Space group C2/m (No. 12)
One atom of each set of equivalent atoms:
Pu: 0.000 0.000 0.000
In: 0.001 0.500 0.318


First-principles (GGA-PBE) data for a geometry-optimized Tb4TmIn3 structure, as listed in Alexandria.

Output
- ΔE to the lowest computed polymorph (eV per atom) = 0.1044
- formation enthalpy at 0 K (eV/atom) = -0.22

abc: 3.525 8.884 15.025
angles: 90.00 90.00 90.00
Space group Immm (No. 71)
One atom of each set of equivalent atoms:
Tb: 0.000 0.199 0.138
Tm: 0.000 0.500 0.000
In: 0.000 0.000 0.317
In: 0.000 0.500 0.500


First-principles (GGA-PBE) data for a geometry-optimized TlOs2Pt structure, as listed in Alexandria.

Output
- ΔE to the lowest computed polymorph (eV per atom) = 0.3319
- formation enthalpy at 0 K (eV/atom) = 0.72

abc: 2.802 4.533 11.340
angles: 90.00 90.00 90.00
Space group Imm2 (No. 44)
One atom of each set of equivalent atoms:
Tl: 0.000 0.000 0.000
Os: 0.000 0.000 0.424
Os: 0.000 0.500 0.741
Pt: 0.000 0.500 0.184